[1]
## CsLiAcBr5 (PBE)

Data for crystalline CsLiAcBr5 at its relaxed geometry.

## Properties
As for the density: 3.64 g/cm³. The value obtained for the final energy is -120.06 eV/cell. Its formation energy from raw total energies is -1.847 eV per atom.

Cell and atoms, written as CIF:
```
data_CsLiAcBr5
_symmetry_space_group_name_H-M 'C 1 2/c 1'
_symmetry_Int_Tables_number 15
_symmetry_space_group_name_Hall '-C 2yc'
_cell_length_a 9.948
_cell_length_b 13.492
_cell_length_c 11.347
_cell_angle_alpha 90.00
_cell_angle_beta 113.37
_cell_angle_gamma 90.00
loop_
_atom_site_label
_atom_site_type_symbol
_atom_site_fract_x
_atom_site_fract_y
_atom_site_fract_z
_atom_site_occupancy
Cs1 Cs 0.000 0.152 0.250 1
Li1 Li 0.000 0.191 0.750 1
Ac1 Ac 0.000 0.500 0.000 1
Br1 Br 0.000 0.417 0.250 1
Br2 Br 0.103 0.296 0.613 1
Br3 Br 0.186 0.071 0.917 1
```

---

[2]
## Cs2LiAcBr6 (PBE)

Data for crystalline Cs2LiAcBr6 at its relaxed geometry.

## Properties
As for the density: 4.19 g/cm³. The value obtained for the final energy is -72.57 eV/cell. Its formation energy from raw total energies is -1.852 eV per atom.

Cell and atoms, written as CIF:
```
data_Cs2LiAcBr6
_symmetry_space_group_name_H-M 'P 1 21/c 1'
_symmetry_Int_Tables_number 14
_symmetry_space_group_name_Hall '-P 2ybc'
_cell_length_a 8.180
_cell_length_b 8.189
_cell_length_c 14.176
_cell_angle_alpha 90.00
_cell_angle_beta 125.11
_cell_angle_gamma 90.00
loop_
_atom_site_label
_atom_site_type_symbol
_atom_site_fract_x
_atom_site_fract_y
_atom_site_fract_z
_atom_site_occupancy
Cs1 Cs 0.245 0.024 0.249 1
Li1 Li 0.000 0.000 0.500 1
Ac1 Ac 0.500 0.000 0.000 1
Br1 Br 0.191 0.231 0.978 1
Br2 Br 0.248 0.713 0.979 1
Br3 Br 0.281 0.004 0.741 1
```

---

[3]
## Cs2Li2AcBr6 (PBE)

Data for crystalline Cs2Li2AcBr6 at its relaxed geometry.

## Properties
As for the density: 3.71 g/cm³. The value obtained for the final energy is -75.18 eV/cell. Its formation energy from raw total energies is -1.628 eV per atom.

Cell and atoms, written as CIF:
```
data_Cs2Li2AcBr6
_symmetry_space_group_name_H-M 'C 1 2/m 1'
_symmetry_Int_Tables_number 12
_symmetry_space_group_name_Hall '-C 2y'
_cell_length_a 13.412
_cell_length_b 7.758
_cell_length_c 9.485
_cell_angle_alpha 90.00
_cell_angle_beta 116.53
_cell_angle_gamma 90.00
loop_
_atom_site_label
_atom_site_type_symbol
_atom_site_fract_x
_atom_site_fract_y
_atom_site_fract_z
_atom_site_occupancy
Cs1 Cs 0.202 0.000 0.178 1
Li1 Li 0.048 0.500 0.350 1
Ac1 Ac 0.000 0.000 0.500 1
Br1 Br 0.048 0.235 0.793 1
Br2 Br 0.248 0.000 0.598 1
```

---

[4]
## CsAcMgBr6 (PBE)

Data for crystalline CsAcMgBr6 at its relaxed geometry.

## Properties
As for the density: 3.62 g/cm³. The value obtained for the final energy is -65.53 eV/cell. Its formation energy from raw total energies is -1.797 eV per atom.

Cell and atoms, written as CIF:
```
data_CsAcMgBr6
_symmetry_space_group_name_H-M 'P -3 1 c'
_symmetry_Int_Tables_number 163
_symmetry_space_group_name_Hall '-P 3 2c'
_cell_length_a 7.5591
_cell_length_b 7.5591
_cell_length_c 16.0326
_cell_angle_alpha 90.00
_cell_angle_beta 90.00
_cell_angle_gamma 120.00
loop_
_atom_site_label
_atom_site_type_symbol
_atom_site_fract_x
_atom_site_fract_y
_atom_site_fract_z
_atom_site_occupancy
Cs1 Cs 0.0000 0.0000 0.0000 1
Ac1 Ac 0.3333 0.6667 0.2500 1
Mg1 Mg 0.3333 0.6667 0.7500 1
Br1 Br 0.0326 0.3891 0.6486 1
```

---

[5]
## CsAcMnBr6 (PBE)

Data for crystalline CsAcMnBr6 at its relaxed geometry.

## Properties
As for the density: 3.76 g/cm³. The value obtained for the final energy is -76.54 eV/cell. Its formation energy from raw total energies is -1.567 eV per atom.

Cell and atoms, written as CIF:
```
data_CsAcMnBr6
_symmetry_space_group_name_H-M 'P -3 1 c'
_symmetry_Int_Tables_number 163
_symmetry_space_group_name_Hall '-P 3 2c'
_cell_length_a 7.5474
_cell_length_b 7.5474
_cell_length_c 16.0150
_cell_angle_alpha 90.00
_cell_angle_beta 90.00
_cell_angle_gamma 120.00
loop_
_atom_site_label
_atom_site_type_symbol
_atom_site_fract_x
_atom_site_fract_y
_atom_site_fract_z
_atom_site_occupancy
Cs1 Cs 0.0000 0.0000 0.0000 1
Ac1 Ac 0.3333 0.6667 0.2500 1
Mn1 Mn 0.3333 0.6667 0.7500 1
Br1 Br 0.0328 0.3895 0.6483 1
```

---

[6]
## Cs2NaAcBr6 (PBE)

Data for crystalline Cs2NaAcBr6 at its relaxed geometry.

## Properties
As for the density: 3.96 g/cm³. The value obtained for the final energy is -71.77 eV/cell. Its formation energy from raw total energies is -1.871 eV per atom.

Cell and atoms, written as CIF:
```
data_Cs2NaAcBr6
_symmetry_space_group_name_H-M 'P 1 21/c 1'
_symmetry_Int_Tables_number 14
_symmetry_space_group_name_Hall '-P 2ybc'
_cell_length_a 8.299
_cell_length_b 8.504
_cell_length_c 14.407
_cell_angle_alpha 90.00
_cell_angle_beta 124.73
_cell_angle_gamma 90.00
loop_
_atom_site_label
_atom_site_type_symbol
_atom_site_fract_x
_atom_site_fract_y
_atom_site_fract_z
_atom_site_occupancy
Cs1 Cs 0.234 0.050 0.249 1
Na1 Na 0.000 0.000 0.500 1
Ac1 Ac 0.500 0.000 0.000 1
Br1 Br 0.172 0.210 0.963 1
Br2 Br 0.255 0.711 0.964 1
Br3 Br 0.318 0.013 0.748 1
```

---

[7]
## CsAcPb2Br8 (PBE)

Data for crystalline CsAcPb2Br8 at its relaxed geometry.

## Properties
As for the density: 4.55 g/cm³. The value obtained for the final energy is -42.60 eV/cell. Its formation energy from raw total energies is -1.403 eV per atom.

Cell and atoms, written as CIF:
```
data_CsAcPb2Br8
_symmetry_space_group_name_H-M 'P -1'
_symmetry_Int_Tables_number 2
_symmetry_space_group_name_Hall '-P 1'
_cell_length_a 7.148
_cell_length_b 7.461
_cell_length_c 9.676
_cell_angle_alpha 89.78
_cell_angle_beta 89.76
_cell_angle_gamma 89.16
loop_
_atom_site_label
_atom_site_type_symbol
_atom_site_fract_x
_atom_site_fract_y
_atom_site_fract_z
_atom_site_occupancy
Cs1 Cs 0.000 0.000 0.000 1
Ac1 Ac 0.000 0.000 0.500 1
Pb1 Pb 0.500 0.500 0.245 1
Br1 Br 0.256 0.332 0.500 1
Br2 Br 0.257 0.837 0.717 1
Br3 Br 0.258 0.838 0.282 1
Br4 Br 0.272 0.389 0.002 1
```

---

[8]
## CsAcPbBr6 (PBE)

Data for crystalline CsAcPbBr6 at its relaxed geometry.

## Properties
As for the density: 3.57 g/cm³. The value obtained for the final energy is -130.94 eV/cell. Its formation energy from raw total energies is -1.559 eV per atom.

Cell and atoms, written as CIF:
```
data_CsAcPbBr6
_symmetry_space_group_name_H-M 'I m m a'
_symmetry_Int_Tables_number 74
_symmetry_space_group_name_Hall '-I 2b 2'
_cell_length_a 10.890
_cell_length_b 11.225
_cell_length_c 15.911
_cell_angle_alpha 90.00
_cell_angle_beta 90.00
_cell_angle_gamma 90.00
loop_
_atom_site_label
_atom_site_type_symbol
_atom_site_fract_x
_atom_site_fract_y
_atom_site_fract_z
_atom_site_occupancy
Cs1 Cs 0.000 0.250 0.045 1
Ac1 Ac 0.000 0.000 0.500 1
Pb1 Pb 0.250 0.250 0.750 1
Br1 Br 0.000 0.250 0.423 1
Br2 Br 0.000 0.250 0.825 1
Br3 Br 0.212 0.053 0.618 1
```

---

[9]
## Cs2RbAcBr6 (PBE)

Data for crystalline Cs2RbAcBr6 at its relaxed geometry.

## Properties
As for the density: 3.71 g/cm³. The value obtained for the final energy is -71.96 eV/cell. Its formation energy from raw total energies is -1.916 eV per atom.

Cell and atoms, written as CIF:
```
data_Cs2RbAcBr6
_symmetry_space_group_name_H-M 'P 1 21/c 1'
_symmetry_Int_Tables_number 14
_symmetry_space_group_name_Hall '-P 2ybc'
_cell_length_a 8.564
_cell_length_b 9.030
_cell_length_c 14.782
_cell_angle_alpha 90.00
_cell_angle_beta 124.15
_cell_angle_gamma 90.00
loop_
_atom_site_label
_atom_site_type_symbol
_atom_site_fract_x
_atom_site_fract_y
_atom_site_fract_z
_atom_site_occupancy
Cs1 Cs 0.219 0.070 0.245 1
Rb1 Rb 0.000 0.000 0.500 1
Ac1 Ac 0.500 0.000 0.000 1
Br1 Br 0.163 0.186 0.948 1
Br2 Br 0.256 0.722 0.934 1
Br3 Br 0.381 0.045 0.766 1
```

---

> Number 9 is which compound?

Cs2RbAcBr6